No. 1
VASP calculation (PBE-GGA) on crystalline Ta2AsRu at its relaxed geometry.

Results
The value obtained for the volume is 131.7 Å³ per cell. The calculation puts the total energy at -37.96 eV per formula unit. The density of states at the Fermi level comes out at 6.41 states/eV per cell. The value obtained for the energy relative to the elements is -31 kJ/mol of formula units. As for the space-group type: Cmm2. As for the total magnetization: 0.00 μB per cell.

abc: 3.9157 4.4215 7.6055
angles: 90.00 90.00 90.00
Atoms (fractional coordinates):
Ta1 0.0000 0.0000 0.0000
Ta2 0.0000 0.5000 0.2950
Ta3 0.5000 0.0000 0.2950
Ta4 0.5000 0.5000 0.0000
As1 0.0000 0.5000 0.7497
As2 0.5000 0.0000 0.7497
Ru1 0.0000 0.0000 0.5541
Ru2 0.5000 0.5000 0.5541

=====

No. 2
VASP calculation (PBE-GGA) on crystalline Ta8CoSe8 at its relaxed geometry.

Results
The value obtained for the volume is 1354.2 Å³ per cell. The calculation puts the total energy at -141.03 eV per formula unit. The density of states at the Fermi level comes out at 24.65 states/eV per cell. As for the space-group type: Pnma. As for the uncorrected formation energy: -1084 kJ/mol of formula units. As for the total magnetization: 0.00 μB per cell.

abc: 22.9562 3.4497 17.1000
angles: 90.00 90.00 90.00
Atoms (fractional coordinates):
Ta1 0.0144 0.2500 0.1650
Ta2 0.0449 0.2500 0.9596
Ta3 0.0494 0.7500 0.3023
Ta4 0.0598 0.7500 0.6838
Ta5 0.1230 0.7500 0.8443
Ta6 0.1675 0.2500 0.7094
Ta7 0.1863 0.7500 0.5652
Ta8 0.2471 0.2500 0.4531
Ta9 0.2529 0.7500 0.9531
Ta10 0.3137 0.2500 0.0652
Ta11 0.3325 0.7500 0.2094
Ta12 0.3770 0.2500 0.3443
Ta13 0.4402 0.2500 0.1838
Ta14 0.4506 0.2500 0.8023
Ta15 0.4551 0.7500 0.4596
Ta16 0.4856 0.7500 0.6650
Ta17 0.5144 0.2500 0.3350
Ta18 0.5449 0.2500 0.5404
Ta19 0.5494 0.7500 0.1977
Ta20 0.5598 0.7500 0.8162
Ta21 0.6230 0.7500 0.6557
Ta22 0.6675 0.2500 0.7906
Ta23 0.6863 0.7500 0.9348
Ta24 0.7471 0.2500 0.0469
Ta25 0.7529 0.7500 0.5469
Ta26 0.8137 0.2500 0.4348
Ta27 0.8325 0.7500 0.2906
Ta28 0.8770 0.2500 0.1557
Ta29 0.9402 0.2500 0.3162
Ta30 0.9506 0.2500 0.6977
Ta31 0.9551 0.7500 0.0404
Ta32 0.9856 0.7500 0.8350
Co1 0.0568 0.2500 0.7932
Co2 0.4432 0.7500 0.2932
Co3 0.5568 0.2500 0.7068
Co4 0.9432 0.7500 0.2068
Se1 0.0288 0.2500 0.4119
Se2 0.0724 0.7500 0.0704
Se3 0.0995 0.2500 0.5766
Se4 0.1169 0.2500 0.2336
Se5 0.1617 0.2500 0.9545
Se6 0.1675 0.7500 0.4133
Se7 0.2300 0.7500 0.7912
Se8 0.2360 0.7500 0.1095
Se9 0.2640 0.2500 0.6095
Se10 0.2700 0.2500 0.2912
Se11 0.3325 0.2500 0.9133
Se12 0.3383 0.7500 0.4545
Se13 0.3831 0.7500 0.7336
Se14 0.4005 0.7500 0.0766
Se15 0.4276 0.2500 0.5704
Se16 0.4712 0.7500 0.9119
Se17 0.5288 0.2500 0.0881
Se18 0.5724 0.7500 0.4296
Se19 0.5995 0.2500 0.9234
Se20 0.6169 0.2500 0.2664
Se21 0.6617 0.2500 0.5455
Se22 0.6675 0.7500 0.0867
Se23 0.7300 0.7500 0.7088
Se24 0.7360 0.7500 0.3905
Se25 0.7640 0.2500 0.8905
Se26 0.7700 0.2500 0.2088
Se27 0.8325 0.2500 0.5867
Se28 0.8383 0.7500 0.0455
Se29 0.8831 0.7500 0.7664
Se30 0.9005 0.7500 0.4234
Se31 0.9276 0.2500 0.9296
Se32 0.9712 0.7500 0.5881